1.
A plane-wave DFT calculation with GGA-PBE was carried out for an optimized crystal structure of Y2LuTh.

The uncorrected energy is -6.18 eV per atom. As for the density of states at the Fermi level: 19.4 states/eV per cell. The relative energy among the computed polymorphs comes out at 0 meV/atom. As for the formation energy: 0.8 kcal/mol of atoms. The crystal system is trigonal.

The structure belongs to space group R-3m (No. 166, hexagonal axes); the cell edges are 3.5650, 3.5650 and 34.5501 Å and the angles 90.00°, 90.00° and 120.00°. Symmetry generates all atoms from Y at (0.0000, 0.0000, 0.2494), Lu at (0.0000, 0.0000, 0.0000) and Th at (0.0000, 0.0000, 0.5000).

=====

2.
A plane-wave DFT calculation with GGA-PBE was carried out for an optimized crystal structure of CaLaSeS2.

The uncorrected energy is -4.13 eV per atom. As for the density of states at the Fermi level: 2.3 states/eV per cell. The crystal system is tetragonal.

The structure belongs to space group P4/mmm (No. 123); the cell edges are 4.867, 4.867 and 7.447 Å and the angles 90.00°, 90.00° and 90.00°. Symmetry generates all atoms from Ca at (0.000, 0.000, 0.000), La at (0.000, 0.000, 0.500), Se at (0.500, 0.500, 0.500) and S at (0.000, 0.500, 0.000).

=====

3.
A plane-wave DFT calculation with GGA-PBE was carried out for an optimized crystal structure of SbSeN2F.

The uncorrected energy is -3.42 eV per atom. As for the density of states at the Fermi level: 2.5 states/eV per cell. The relative energy among the computed polymorphs comes out at 1036 meV/atom. The crystal system is tetragonal.

The structure belongs to space group P4/mmm (No. 123); the cell edges are 4.269, 4.269 and 4.009 Å and the angles 90.00°, 90.00° and 90.00°. Symmetry generates all atoms from Sb at (0.000, 0.000, 0.000), Se at (0.500, 0.500, 0.000), N at (0.000, 0.500, 0.500) and F at (0.500, 0.500, 0.500).

=====

4.
A plane-wave DFT calculation with GGA-PBE was carried out for an optimized crystal structure of Mg2Sn2Rh.

The uncorrected energy is -3.91 eV per atom. As for the density of states at the Fermi level: 3.5 states/eV per cell. As for the formation energy: -4.6 kcal/mol of atoms. The crystal system is tetragonal.

The structure belongs to space group P4/mbm (No. 127); the cell edges are 6.969, 6.969 and 4.439 Å and the angles 90.00°, 90.00° and 90.00°. Symmetry generates all atoms from Mg at (0.168, 0.332, 0.000), Sn at (0.147, 0.647, 0.500) and Rh at (0.000, 0.000, 0.500).

=====

5.
A plane-wave DFT calculation with GGA-PBE was carried out for an optimized crystal structure of MnSbTe4.

The uncorrected energy is -4.41 eV per atom. As for the density of states at the Fermi level: 4.9 states/eV per cell. The relative energy among the computed polymorphs comes out at 0 meV/atom. The crystal system is monoclinic.

The structure belongs to space group C2/m (No. 12); the cell edges are 15.563, 3.897 and 7.166 Å and the angles 90.00°, 116.69° and 90.00°. Symmetry generates all atoms from Mn at (0.000, 0.000, 0.000), Sb at (0.000, 0.500, 0.500), Te at (0.114, 0.500, 0.255) and Te at (0.122, 0.000, 0.831).

=====

6.
A plane-wave DFT calculation with GGA-PBE was carried out for an optimized crystal structure of LaZn4Cr.

The uncorrected energy is -3.36 eV per atom. As for the density of states at the Fermi level: 4.1 states/eV per cell. As for the formation energy: -2.0 kcal/mol of atoms. The crystal system is cubic.

The structure belongs to space group F-43m (No. 216); the cell edges are 7.573, 7.573 and 7.573 Å and the angles 90.00°, 90.00° and 90.00°. Symmetry generates all atoms from La at (0.000, 0.000, 0.000), Zn at (0.124, 0.124, 0.624) and Cr at (0.250, 0.250, 0.250).